VASP calculation (PBE) on a relaxed Ce2RuPb crystal.

Cell lengths 3.914, 7.065, 7.899 Å; angles 90.00, 104.35, 90.00 degrees
Element x y z (fractional)
Ce: 0.353 0.507 0.707
Ce: 0.647 0.493 0.293
Ce: 0.353 0.993 0.707
Ce: 0.647 0.007 0.293
Pb: 0.000 0.250 0.000
Pb: 0.000 0.750 0.000
Ru: 0.189 0.750 0.378
Ru: 0.811 0.250 0.622

- energy relative to the elements (eV per atom) = -0.3451
- relative energy among the computed polymorphs (meV per atom) = 63
- Fermi-level density of states (states/eV/atom) = 2.120

VASP calculation (PBE) on a relaxed Ce5RuPb4 crystal.

Cell lengths 6.350, 7.657, 7.657 Å; angles 80.10, 65.50, 65.50 degrees
Element x y z (fractional)
Pb: 0.578 0.605 0.241
Pb: 0.424 0.395 0.759
Pb: 0.819 0.759 0.605
Pb: 0.183 0.241 0.395
Ru: 0.001 0.000 0.000
Ce: 0.099 0.646 0.158
Ce: 0.903 0.354 0.842
Ce: 0.257 0.842 0.646
Ce: 0.745 0.158 0.354
Ce: 0.501 0.000 0.000

- energy relative to the elements (eV per atom) = -0.2537
- Fermi-level density of states (states/eV/atom) = 2.413

VASP calculation (PBE) on a relaxed Ce2RuPb crystal.

Cell lengths 5.258, 6.772, 12.017 Å; angles 90.00, 90.00, 90.00 degrees
Element x y z (fractional)
Pb: 0.250 0.783 0.856
Pb: 0.750 0.717 0.356
Pb: 0.750 0.217 0.144
Pb: 0.250 0.283 0.644
Ce: 0.250 0.464 0.257
Ce: 0.750 0.722 0.051
Ce: 0.750 0.536 0.743
Ce: 0.750 0.222 0.449
Ce: 0.250 0.778 0.551
Ce: 0.750 0.036 0.757
Ce: 0.250 0.278 0.949
Ce: 0.250 0.964 0.243
Ru: 0.250 0.719 0.090
Ru: 0.750 0.281 0.910
Ru: 0.750 0.781 0.590
Ru: 0.250 0.219 0.410

- energy relative to the elements (eV per atom) = -0.4076
- relative energy among the computed polymorphs (meV per atom) = 0
- Fermi-level density of states (states/eV/atom) = 1.570

VASP calculation (PBE) on a relaxed Ce8Ru2Pb crystal.

Cell lengths 5.316, 8.440, 7.889 Å; angles 57.66, 83.11, 77.04 degrees
Element x y z (fractional)
Pb: 0.500 0.000 0.000
Ce: 0.694 0.579 0.000
Ce: 0.058 0.688 0.218
Ce: 0.942 0.094 0.218
Ce: 0.942 0.312 0.782
Ce: 0.500 0.255 0.490
Ce: 0.500 0.745 0.510
Ce: 0.306 0.421 0.000
Ce: 0.058 0.906 0.782
Ru: 0.000 0.712 0.575
Ru: 0.000 0.288 0.425

- energy relative to the elements (eV per atom) = -0.1848
- Fermi-level density of states (states/eV/atom) = 2.713

VASP calculation (PBE) on a relaxed Ce5Ru2Pb5 crystal.

Cell lengths 5.081, 8.190, 11.333 Å; angles 126.33, 90.00, 108.07 degrees
Element x y z (fractional)
Pb: 0.333 0.666 0.710
Pb: 0.500 0.000 0.500
Pb: 0.616 0.233 0.959
Pb: 0.667 0.334 0.290
Pb: 0.384 0.767 0.041
Ce: 0.000 0.000 0.000
Ce: 0.734 0.468 0.798
Ce: 0.042 0.083 0.357
Ce: 0.958 0.917 0.643
Ce: 0.266 0.532 0.202
Ru: 0.130 0.260 0.872
Ru: 0.870 0.740 0.128

- energy relative to the elements (eV per atom) = -0.2870
- Fermi-level density of states (states/eV/atom) = 1.694

VASP calculation (PBE) on a relaxed Ce6RuPb3 crystal.

Cell lengths 8.271, 6.411, 6.411 Å; angles 63.12, 77.98, 77.98 degrees
Element x y z (fractional)
Ce: 0.135 0.650 0.650
Ce: 0.632 0.903 0.328
Ce: 0.368 0.097 0.672
Ce: 0.368 0.672 0.097
Ce: 0.865 0.350 0.350
Ce: 0.632 0.328 0.903
Ru: 0.500 0.500 0.500
Pb: 0.745 0.822 0.822
Pb: 0.255 0.178 0.178
Pb: 0.000 0.000 0.000

- energy relative to the elements (eV per atom) = -0.2364
- Fermi-level density of states (states/eV/atom) = 3.151